A geometry-optimized Li2SnBi structure. Source: Alexandria, functional PBE.

Cell lengths 4.532, 4.532, 19.522 Å; angles 90.00, 90.00, 90.00 degrees
Space group I-42d (No. 122)
Symmetry-distinct sites (fractional):
Li: 0.238 0.250 0.125
Sn: 0.000 0.000 0.000
Bi: 0.000 0.000 0.500

## Properties
Energy of formation from the pure elements = -76 kJ/mol of formula units
Fermi-level density of states = 7.0 states/eV per cell
DFT total energy = -3.125 eV/atom



A geometry-optimized LiSnBi structure. Source: Alexandria, functional PBE.

Cell lengths 5.3139, 5.3139, 3.3733 Å; angles 90.00, 90.00, 120.00 degrees
Space group P3m1 (No. 156)
Symmetry-distinct sites (fractional):
Li: 0.0000 0.0000 0.0000
Sn: 0.3333 0.6667 0.4168
Bi: 0.6667 0.3333 0.5732

## Properties
Energy of formation from the pure elements = -32 kJ/mol of formula units
Fermi-level density of states = 2.1 states/eV per cell
DFT total energy = -3.376 eV/atom
ΔE to the lowest computed polymorph = 99 meV/atom



A geometry-optimized Li2SnBi2 structure. Source: Alexandria, functional PBE.

Cell lengths 10.714, 3.405, 7.757 Å; angles 90.00, 115.94, 90.00 degrees
Space group C2/m (No. 12)
Symmetry-distinct sites (fractional):
Li: 0.153 0.000 0.337
Sn: 0.000 0.500 0.000
Bi: 0.135 0.000 0.713

## Properties
Energy of formation from the pure elements = -86 kJ/mol of formula units
Fermi-level density of states = 4.0 states/eV per cell
DFT total energy = -3.297 eV/atom
ΔE to the lowest computed polymorph = 75 meV/atom



A geometry-optimized LiSnBi structure. Source: Alexandria, functional PBE.

Cell lengths 6.581, 6.509, 7.030 Å; angles 90.00, 90.00, 90.00 degrees
Space group Pnma (No. 62)
Symmetry-distinct sites (fractional):
Li: 0.000 0.000 0.000
Sn: 0.179 0.250 0.309
Bi: 0.136 0.750 0.352

## Properties
Energy of formation from the pure elements = -60 kJ/mol of formula units
Fermi-level density of states = 3.8 states/eV per cell
DFT total energy = -3.475 eV/atom
ΔE to the lowest computed polymorph = 0 meV/atom



A geometry-optimized Li2Sn6Bi structure. Source: Alexandria, functional PBE.

Cell lengths 14.971, 4.353, 7.571 Å; angles 90.00, 108.61, 90.00 degrees
Space group C2/m (No. 12)
Symmetry-distinct sites (fractional):
Li: 0.062 0.000 0.325
Sn: 0.099 0.500 0.649
Sn: 0.163 0.000 0.985
Sn: 0.230 0.500 0.343
Bi: 0.000 0.500 0.000

## Properties
Energy of formation from the pure elements = -78 kJ/mol of formula units
Fermi-level density of states = 6.9 states/eV per cell
DFT total energy = -3.614 eV/atom



A geometry-optimized LiSn2Bi structure. Source: Alexandria, functional PBE.

Cell lengths 4.5012, 4.5012, 23.1392 Å; angles 90.00, 90.00, 120.00 degrees
Space group R-3m (No. 166, hexagonal axes)
Symmetry-distinct sites (fractional):
Li: 0.0000 0.0000 0.0000
Sn: 0.0000 0.0000 0.3676
Bi: 0.0000 0.0000 0.5000

## Properties
Energy of formation from the pure elements = 83 kJ/mol of formula units
Fermi-level density of states = 5.5 states/eV per cell
DFT total energy = -3.234 eV/atom



A geometry-optimized Li3SnBi3 structure. Source: Alexandria, functional PBE.

Cell lengths 8.9620, 8.9620, 5.2438 Å; angles 90.00, 90.00, 120.00 degrees
Space group P6_3/m (No. 176)
Symmetry-distinct sites (fractional):
Li: 0.1106 0.5001 0.2500
Sn: 0.3333 0.6667 0.7500
Bi: 0.0926 0.2776 0.7500

## Properties
Energy of formation from the pure elements = -136 kJ/mol of formula units
Fermi-level density of states = 5.1 states/eV per cell
DFT total energy = -3.257 eV/atom
ΔE to the lowest computed polymorph = 0 meV/atom



A geometry-optimized LiSnBi3 structure. Source: Alexandria, functional PBE.

Cell lengths 5.872, 5.872, 5.872 Å; angles 90.00, 90.00, 90.00 degrees
Space group Pm-3m (No. 221)
Symmetry-distinct sites (fractional):
Li: 0.000 0.000 0.000
Sn: 0.500 0.500 0.500
Bi: 0.000 0.500 0.500

## Properties
Energy of formation from the pure elements = 259 kJ/mol of formula units
Fermi-level density of states = 4.9 states/eV per cell
DFT total energy = -2.974 eV/atom
ΔE to the lowest computed polymorph = 295 meV/atom



A geometry-optimized Li6Sn3Bi structure. Source: Alexandria, functional PBE.

Cell lengths 12.0560, 12.0560, 5.4790 Å; angles 90.00, 90.00, 120.00 degrees
Space group R3m (No. 160, hexagonal axes)
Symmetry-distinct sites (fractional):
Li: 0.1485 0.0743 0.0000
Li: 0.1676 0.3351 0.2387
Sn: 0.0614 0.5307 0.4070
Bi: 0.0000 0.0000 0.4895

## Properties
Energy of formation from the pure elements = -168 kJ/mol of formula units
Fermi-level density of states = 9.4 states/eV per cell
DFT total energy = -2.911 eV/atom



A geometry-optimized Li3SnBi3 structure. Source: Alexandria, functional PBE.

Cell lengths 7.485, 7.485, 7.485 Å; angles 90.00, 90.00, 90.00 degrees
Space group Pm-3n (No. 223)
Symmetry-distinct sites (fractional):
Li: 0.000 0.250 0.500
Sn: 0.000 0.000 0.000
Bi: 0.000 0.500 0.250

## Properties
Energy of formation from the pure elements = 227 kJ/mol of formula units
Fermi-level density of states = 13.7 states/eV per cell
DFT total energy = -2.719 eV/atom
ΔE to the lowest computed polymorph = 538 meV/atom



A geometry-optimized Li2Sn2Bi structure. Source: Alexandria, functional PBE.

Cell lengths 4.413, 4.413, 12.750 Å; angles 90.00, 90.00, 90.00 degrees
Space group I4/mmm (No. 139)
Symmetry-distinct sites (fractional):
Li: 0.000 0.500 0.250
Sn: 0.000 0.000 0.109
Bi: 0.000 0.000 0.500

## Properties
Energy of formation from the pure elements = -53 kJ/mol of formula units
Fermi-level density of states = 3.2 states/eV per cell
DFT total energy = -3.252 eV/atom
ΔE to the lowest computed polymorph = 146 meV/atom



A geometry-optimized Li6Sn5Bi structure. Source: Alexandria, functional PBE.

Cell lengths 8.423, 14.645, 4.935 Å; angles 90.00, 124.02, 90.00 degrees
Space group C2/m (No. 12)
Symmetry-distinct sites (fractional):
Li: 0.247 0.000 0.247
Li: 0.250 0.168 0.750
Sn: 0.000 0.000 0.500
Sn: 0.000 0.167 0.000
Sn: 0.000 0.330 0.500
Bi: 0.000 0.500 0.000

## Properties
Energy of formation from the pure elements = -368 kJ/mol of formula units
Fermi-level density of states = 9.2 states/eV per cell
DFT total energy = -3.266 eV/atom